The following is a DFT calculation (PBE-GGA) of an optimized crystal structure of Dy6HoTm2.

Properties
DFT total energy (eV/atom): -4.57
Energy relative to the lowest polymorph listed for this composition (meV/atom): 0
E_form (eV/atom): 0.005
Density of states at the Fermi level (states/eV per atom): 1.7956
SG: P-1

a b c (Å): 6.657 9.119 9.509
angles (deg): 98.59 95.91 95.24
Element x y z (fractional)
Dy 0.017 0.271 0.111
Dy 0.204 0.953 0.222
Dy 0.240 0.492 0.445
Dy 0.314 0.066 0.889
Dy 0.425 0.177 0.556
Dy 0.464 0.712 0.778
Dy 0.536 0.288 0.222
Dy 0.575 0.823 0.444
Dy 0.686 0.934 0.111
Dy 0.760 0.508 0.555
Dy 0.796 0.047 0.778
Dy 0.983 0.729 0.889
Ho 0.092 0.843 0.555
Ho 0.908 0.157 0.445
Tm 0.130 0.380 0.779
Tm 0.352 0.601 0.111
Tm 0.648 0.399 0.889
Tm 0.870 0.620 0.221